## BaTmCo4O7 (PBE+U)

Data for a relaxed BaTmCo4O7 crystal.

Properties
- space group = Cc
- mass density (Mg/m³) = 6.22
- magnetization (μB/f.u.) = 13.00
- VASP energy (Ha/atom) = -0.240
- energy above the lowest structure with this stoichiometry (eV per formula unit) = 0.00

```
BaTmCo4O7
1.0
6.2721 0.0261 -0.0052
-3.1135 5.4448 -0.0051
-0.0084 -0.0145 10.1991
Ba O Co Tm
2 14 8 2
direct
0.3370 0.6667 0.0000
0.6667 0.3370 0.4999
0.1070 0.7749 0.5064
0.3357 0.2314 0.9989
0.2314 0.3357 0.4989
0.5210 0.5174 0.7549
0.8973 0.6603 0.0000
0.4858 0.9935 0.2469
0.7749 0.1070 0.0064
0.9913 0.4692 0.2589
0.0065 0.9988 0.7488
0.9935 0.4858 0.7469
0.4692 0.9913 0.7589
0.9988 0.0065 0.2488
0.6603 0.8973 0.5000
0.5174 0.5210 0.2549
0.8438 0.6617 0.1868
0.1907 0.3410 0.6871
0.0036 0.9956 0.9447
0.8126 0.1569 0.1887
0.3410 0.1907 0.1871
0.9956 0.0035 0.4447
0.6617 0.8438 0.6868
0.1569 0.8126 0.6887
0.6649 0.3353 0.8790
0.3353 0.6649 0.3790
```